A relaxed structure of LiScBr2. Source: Alexandria, functional GGA-PBE.

Unit cell a=3.467 b=3.468 c=6.832 alpha=90.00 beta=90.00 gamma=90.00
Positions (direct):
Li (0.500, 0.500, 0.250)
Sc (0.500, 0.500, 0.750)
Br (0.000, 0.000, 0.513)
Br (0.000, 0.000, 0.987)

As for the space group: P4/mmm, No. 123. The calculation puts the size of the total moment at 0.00 μB/cell. The density of states at the Fermi level comes out at 0.7 states/eV/f.u. The relative energy among the computed polymorphs is 0.145 eV per atom. As for the total energy: -15.29 eV per cell.